Computed, not measured: a relaxed Ba2SrLa crystal at the GGA-PBE level of DFT. Values from VASP.

Computed properties:
Total magnetic moment in Bohr magnetons per cell: 0.0
Energy relative to the lowest polymorph listed for this composition in eV/f.u.: 0.17
SG: F-43m (216)

Structure (Quantum ESPRESSO input):
```
&SYSTEM
  ibrav = 0, nat = 4, ntyp = 3
/
ATOMIC_SPECIES
Ba 137.33 Ba.upf
Sr 87.62 Sr.upf
La 138.91 La.upf
CELL_PARAMETERS angstrom
0.000 4.706 4.706
4.706 0.000 4.706
4.706 4.706 0.000
ATOMIC_POSITIONS crystal
Ba 0.000 0.000 0.000
Ba 0.250 0.250 0.250
Sr 0.500 0.500 0.500
La 0.750 0.750 0.750
```